Computed, not measured: crystalline NdTaNi2O6 at its relaxed geometry at the PBE+U level of DFT.

Calculated total energy   -7.42 eV/atom
Total magnetic moment   4.0 μB/f.u.
Theoretical density   7.4 g cm⁻³

Cell: 5.735 5.735 5.735 Å, 56.01 56.01 56.01°
Fractional coordinates of all 10 atoms:
Nd 0.000 0.000 0.000
Ta 0.483 0.483 0.483
Ni 0.279 0.279 0.279
Ni 0.782 0.782 0.782
O 0.083 0.635 0.433
O 0.206 0.552 0.866
O 0.433 0.083 0.635
O 0.552 0.866 0.206
O 0.635 0.433 0.083
O 0.866 0.206 0.552